(1)
First-principles (PBE) data for MgCu2Br after structural relaxation, as listed in Alexandria via LeMat-Bulk.

As for the excess energy over the best structure of this formula in the dataset: 0.3329 eV/atom. Its space group is I-42d, No. 122. The final energy is -2.67 eV/atom.

Cell: 7.5364 7.5364 5.9497 Å, 50.70 50.70 90.00°
Element x y z (fractional)
Br 0.0000 0.0000 0.0000
Br 0.7500 0.2500 0.5000
Cu 0.6397 0.1250 0.2500
Cu 0.8750 0.8897 0.7500
Cu 0.3750 0.3603 0.7500
Cu 0.1103 0.6250 0.2500
Mg 0.5000 0.5000 0.0000
Mg 0.2500 0.7500 0.5000

***

(2)
First-principles (PBE) data for Pr3CoC2N6 after structural relaxation, as listed in Alexandria via LeMat-Bulk.

Its space group is P-3m1, No. 164. The final energy is -8.00 eV/atom.

Cell: 5.3568 5.3568 6.3990 Å, 90.00 90.00 120.00°
Each line ends with the local moment (μB).
Element x y z (fractional)
Pr 0.6667 0.3333 0.3377  -0.01
Pr 0.3333 0.6667 0.6623  -0.01
Pr 0.0000 0.0000 0.0000  -0.03
N 0.8142 0.6285 0.7254  0.03
N 0.1858 0.8142 0.2746  0.03
N 0.6285 0.8142 0.2746  0.03
N 0.8142 0.1858 0.7254  0.03
N 0.1858 0.3715 0.2746  0.03
N 0.3715 0.1858 0.7254  0.03
C 0.6667 0.3333 0.7361  0.02
C 0.3333 0.6667 0.2639  0.02
Co 0.0000 0.0000 0.5000  1.91

***

(3)
First-principles (PBE) data for Tl5Sn3Hg3 after structural relaxation, as listed in Alexandria via LeMat-Bulk.

Its space group is P-62m, No. 189. The final energy is -2.13 eV/atom. The formation energy is 0.12 eV per atom.

Cell: 4.3848 10.0116 10.0116 Å, 120.00 90.00 90.00°
Element x y z (fractional)
Hg 0.5000 0.6102 0.0000
Hg 0.5000 0.3898 0.3898
Hg 0.5000 0.0000 0.6102
Tl 0.5000 0.3333 0.6667
Tl 0.5000 0.2896 0.0000
Tl 0.5000 0.6667 0.3333
Tl 0.5000 0.0000 0.2896
Tl 0.5000 0.7104 0.7104
Sn 0.0000 0.8231 0.0000
Sn 0.0000 0.0000 0.8231
Sn 0.0000 0.1769 0.1769

***

(4)
First-principles (PBE) data for SmPtPb after structural relaxation, as listed in Alexandria via LeMat-Bulk.

Its space group is Pmma, No. 51. The final energy is -5.65 eV/atom. The formation energy is -0.82 eV per atom.

Cell: 3.9307 7.9058 14.1407 Å, 90.00 90.00 90.00°
Element x y z (fractional)
Sm 0.0000 0.2158 0.5522
Sm 0.0000 0.7842 0.4478
Sm 0.0000 0.2158 0.9478
Sm 0.0000 0.1715 0.2500
Sm 0.0000 0.8285 0.7500
Sm 0.0000 0.7842 0.0522
Pt 0.5000 0.9250 0.9082
Pt 0.0000 0.4310 0.7500
Pt 0.5000 0.9250 0.5918
Pt 0.5000 0.0750 0.0918
Pt 0.5000 0.0750 0.4082
Pt 0.0000 0.5690 0.2500
Pb 0.5000 0.1673 0.7500
Pb 0.5000 0.4421 0.1162
Pb 0.5000 0.5579 0.6162
Pb 0.5000 0.4421 0.3838
Pb 0.5000 0.5579 0.8838
Pb 0.5000 0.8327 0.2500